[1]
The following is a DFT calculation (PBE-GGA) of SbTeIr2 after structural relaxation.

Cell and atoms, written as POSCAR:
```
SbTeIr2
1.0
4.900 0.000 0.000
0.000 4.900 0.000
0.000 0.000 3.141
Sb Te Ir
1 1 2
Direct
0.000 0.000 0.000
0.500 0.500 0.000
0.000 0.500 0.500
0.500 0.000 0.500
```

Calculated values
ΔE to the lowest computed polymorph, kcal/mol of atoms: 7.92
DOS(E_F), states/eV/f.u.: 4.907
SG: P4/mmm, No. 123

[2]
The following is a DFT calculation (PBE-GGA) of Mg2MnSb after structural relaxation.

Cell and atoms, written as POSCAR:
```
Mg2MnSb
1.0
1.627 0.940 9.425
-1.627 0.940 9.425
0.000 -1.879 9.425
Mg Mn Sb
2 1 1
Direct
0.245 0.245 0.245
0.755 0.755 0.755
0.500 0.500 0.500
0.000 0.000 0.000
```

Calculated values
DOS(E_F), states/eV/f.u.: 2.246
SG: R-3m, No. 166

Number 1: total DFT energy (no corrections) -23.323 eV for the cell shown, magnetization 0.000 μB/atom, raw formation energy 0.416 eV per atom. Number 2: total DFT energy (no corrections) -15.690 eV for the cell shown, magnetization 0.923 μB/atom, raw formation energy 0.198 eV per atom.